The following is a DFT calculation (PBE) of crystalline SrZnGa2Pd2 at its relaxed geometry.

Lattice parameters (Å, degrees): 4.6868 4.6868 5.8114 90.00 90.00 90.00
Last column: nearest neighbours and their distance in Å.
Element x y z (fractional)
Sr 0.0000 0.0000 0.5000  2 Zn 2.91
Zn 0.0000 0.0000 0.0000  4 Ga 2.34
Ga 0.5000 0.0000 0.0000  2 Zn 2.34
Ga 0.0000 0.5000 0.0000  2 Zn 2.34
Pd 0.5000 0.5000 0.7521  4 Ga 2.75, 2 Pd 2.88-2.93
Pd 0.5000 0.5000 0.2479  4 Ga 2.75, 2 Pd 2.88-2.93

Results
calculated formation energy: -0.184 eV per atom
magnetization: 0.0 μB/f.u.
E_tot: -20.50 eV per formula unit
space group: P4/mmm, No. 123